11
Lattice="-3.505 0.161 1.339 -2.222 -3.543 -5.390 2.004 -3.271 5.642" Properties=species:S:1:pos:R:3 comment="PBE ErNi6Ge4, relaxed" formation_enthalpy_0k_ev_per_atom=-0.491 crystal_system=hexagonal e_tot_ev_per_atom=-5.738 pbc="T T T"
Er 0.000 0.000 0.000
Ni -1.045 -2.143 -2.478
Ni -1.471 -4.612 1.974
Ni -0.265 -3.417 -0.281
Ni -1.130 -4.797 -2.380
Ni -0.614 -3.246 4.051
Ni -1.387 -1.985 1.877
Ge -2.312 -4.805 -0.206
Ge -2.219 -1.900 -0.313
Ge -3.167 -3.410 -2.611
Ge 0.596 -3.362 1.964

9
Lattice="4.144 0.000 0.000 -2.072 5.263 -0.059 0.000 -2.206 7.697" Properties=species:S:1:pos:R:3 comment="PBE Er3Ni2Ge4, relaxed" formation_enthalpy_0k_ev_per_atom=-0.774 relative_energy_ev_per_atom=0.000 crystal_system=monoclinic e_tot_ev_per_atom=-5.631 pbc="T T T"
Er 2.072 -0.207 5.321
Er 0.000 0.000 0.000
Er 0.000 3.264 2.317
Ni 2.072 1.212 2.836
Ni 0.000 1.844 4.802
Ge 2.072 2.013 0.561
Ge 0.000 1.044 7.077
Ge 2.072 3.003 4.588
Ge 0.000 0.054 3.050